VASP calculation (PBE) on a geometry-optimized ReC5 structure.

abc: 6.7786 6.7786 2.5762
angles: 90.00 90.00 157.77
Sites, in units of the cell vectors:
1 C 0.7095 0.2905 0.0000
2 Re 0.1048 0.8952 0.5000
3 C 0.7794 0.2206 0.5000
4 C 0.3466 0.6534 0.5000
5 C 0.9785 0.0215 0.0000
6 C 0.4145 0.5855 0.0000

Energy relative to the elements (meV per atom): 809
SG: Amm2 (38)
Total magnetic moment (μB per formula unit): 0.0
Total DFT energy (no corrections) (eV per cell): -53.7
Offset from the most stable computed form (meV per atom): 0

VASP calculation (PBE) on a geometry-optimized Re2C structure.

abc: 5.9047 5.9047 4.3120
angles: 90.00 90.00 151.64
Sites, in units of the cell vectors:
1 Re 0.1547 0.8453 0.7500
2 Re 0.4316 0.5684 0.7500
3 Re 0.5684 0.4316 0.2500
4 C 0.7978 0.2022 0.7500
5 C 0.2022 0.7978 0.2500
6 Re 0.8453 0.1547 0.2500

Energy relative to the elements (meV per atom): 368
SG: Cmcm (63)
Total magnetic moment (μB per formula unit): 0.0
Total DFT energy (no corrections) (eV per cell): -66.0
Offset from the most stable computed form (meV per atom): 402

VASP calculation (PBE) on a geometry-optimized ReC5 structure.

abc: 6.9787 6.9787 2.6316
angles: 90.00 90.00 157.21
Sites, in units of the cell vectors:
1 C 0.6257 0.3743 0.0000
2 C 0.2563 0.7437 0.5000
3 C 0.4515 0.5485 0.5000
4 C 0.3115 0.6885 0.0000
5 C 0.6844 0.3156 0.5000
6 Re 0.0038 0.9962 0.0000

Energy relative to the elements (meV per atom): 1140
SG: Amm2 (38)
Total magnetic moment (μB per formula unit): 0.0
Total DFT energy (no corrections) (eV per cell): -51.7
Offset from the most stable computed form (meV per atom): 331

VASP calculation (PBE) on a geometry-optimized ReC3 structure.

abc: 11.5909 11.5909 11.5909
angles: 166.59 166.59 19.00
Sites, in units of the cell vectors:
1 C 0.0000 0.5000 0.5000
2 C 0.5000 0.0000 0.5000
3 C 0.7500 0.2500 0.5000
4 Re 0.3252 0.3252 0.0000
5 C 0.8635 0.8635 0.0000
6 Re 0.6748 0.6748 0.0000
7 C 0.1365 0.1365 0.0000
8 C 0.2500 0.7500 0.5000

Energy relative to the elements (meV per atom): 2020
SG: I4/mmm (139)
Total magnetic moment (μB per formula unit): 0.0
Total DFT energy (no corrections) (eV per cell): -64.1
Offset from the most stable computed form (meV per atom): 1188

VASP calculation (PBE) on a geometry-optimized ReC3 structure.

abc: 4.3730 5.8049 5.6818
angles: 90.00 90.00 90.00
Sites, in units of the cell vectors:
1 Re 0.2571 0.1860 0.2500
2 C 0.1901 0.9115 0.7500
3 C 0.1391 0.4196 0.9761
4 Re 0.7571 0.3140 0.7500
5 C 0.6391 0.0804 0.4761
6 C 0.6391 0.0804 0.0239
7 C 0.3099 0.4115 0.7500
8 C 0.1391 0.4196 0.5239
9 C 0.8099 0.0885 0.2500
10 C 0.6901 0.5885 0.2500
11 C 0.3609 0.9196 0.9761
12 Re 0.7429 0.8140 0.7500
13 Re 0.2429 0.6860 0.2500
14 C 0.3609 0.9196 0.5239
15 C 0.8609 0.5804 0.0239
16 C 0.8609 0.5804 0.4761

Energy relative to the elements (meV per atom): 904
SG: Pnma (62)
Total magnetic moment (μB per formula unit): 0.0
Total DFT energy (no corrections) (eV per cell): -146.0
Offset from the most stable computed form (meV per atom): 72

VASP calculation (PBE) on a geometry-optimized ReC3 structure.

abc: 3.8747 3.8747 3.8747
angles: 141.19 117.56 76.00
Sites, in units of the cell vectors:
1 Re 0.5000 0.0000 0.5000
2 C 0.1845 0.1845 0.0000
3 C 0.8155 0.8155 0.0000
4 C 0.0000 0.5000 0.5000

Energy relative to the elements (meV per atom): 1909
SG: Immm (71)
Total magnetic moment (μB per formula unit): 0.0
Total DFT energy (no corrections) (eV per cell): -32.5
Offset from the most stable computed form (meV per atom): 1077